(a)
A geometry-optimized Y6HoEr2 structure, computed with GGA-PBE.

```
Y6HoEr2
1.0
10.6534 0.0000 0.0000
0.0000 10.6534 0.0000
0.0000 0.0000 5.0265
Y Ho Er
12 2 4
direct
0.0004 0.3322 0.0000
0.9996 0.6679 0.0000
0.1660 0.1660 0.5000
0.1678 0.5004 0.5000
0.3322 0.0004 0.0000
0.3340 0.6660 0.0000
0.5004 0.1678 0.5000
0.4996 0.8322 0.5000
0.6660 0.3340 0.0000
0.6679 0.9996 0.0000
0.8322 0.4996 0.5000
0.8340 0.8340 0.5000
0.0000 0.0000 0.0000
0.5000 0.5000 0.5000
0.1662 0.8338 0.5000
0.3338 0.3338 0.0000
0.6662 0.6662 0.0000
0.8338 0.1662 0.5000
```

Output
spin magnetization: 0.00 Bohr magnetons per cell
density: 6.0 g/cm3
SG: P4_2/mnm, No. 136

***

(b)
A geometry-optimized Y6HoEr2 structure, computed with GGA-PBE.

```
Y6HoEr2
1.0
6.6851 -5.8532 0.0000
6.6851 5.8532 0.0000
-5.2531 0.0000 7.3346
Y Ho Er
12 2 4
direct
0.1019 0.8425 0.5451
0.1127 0.4447 0.3575
0.1575 0.8981 0.9549
0.3092 0.4803 0.8069
0.4447 0.1127 0.8575
0.4803 0.3092 0.3069
0.5197 0.6908 0.6931
0.5553 0.8873 0.1425
0.6908 0.5197 0.1931
0.8425 0.1019 0.0451
0.8873 0.5553 0.6425
0.8981 0.1575 0.4549
0.3261 0.6739 0.2500
0.6739 0.3261 0.7500
0.0899 0.2839 0.9244
0.2839 0.0899 0.4244
0.7161 0.9101 0.5756
0.9101 0.7161 0.0756
```

Output
spin magnetization: 0.00 Bohr magnetons per cell
density: 6.0 g/cm3
SG: C2/c, No. 15

***

The winner here is (a), beating the second structure by 46 meV per atom.

***

(a)
A geometry-optimized Y4HoEr3 structure, computed with GGA-PBE.

```
Y4HoEr3
1.0
5.5831 0.0000 0.0000
0.0000 26.1378 0.0000
0.0000 0.0000 3.5573
Y Ho Er
8 2 6
direct
0.0000 0.1030 0.0000
0.0000 0.2226 0.0000
0.0000 0.7774 0.0000
0.0000 0.8970 0.0000
0.5000 0.2774 0.0000
0.5000 0.3970 0.0000
0.5000 0.6030 0.0000
0.5000 0.7226 0.0000
0.0000 0.0000 0.5000
0.5000 0.5000 0.5000
0.0000 0.3444 0.5000
0.0000 0.5000 0.0000
0.0000 0.6556 0.5000
0.5000 0.0000 0.0000
0.5000 0.1556 0.5000
0.5000 0.8444 0.5000
```

Output
spin magnetization: 0.00 Bohr magnetons per cell
density: 6.5 g/cm3
SG: Cmmm, No. 65

***

(b)
A geometry-optimized Y4HoEr3 structure, computed with GGA-PBE.

```
Y4HoEr3
1.0
11.2059 0.0000 0.0000
0.0000 7.2532 0.0000
0.0000 0.0000 6.2665
Y Ho Er
8 2 6
direct
0.0000 0.1274 0.0000
0.0000 0.8734 0.4994
0.2503 0.1269 0.3363
0.2497 0.8731 0.8363
0.5000 0.1266 0.9994
0.5000 0.8726 0.5000
0.7497 0.1269 0.3363
0.7503 0.8731 0.8363
0.0000 0.3773 0.5031
0.5000 0.6227 0.0031
0.0000 0.6231 0.0028
0.2501 0.3770 0.8333
0.2499 0.6230 0.3333
0.5000 0.3769 0.5028
0.7499 0.3770 0.8333
0.7501 0.6230 0.3333
```

Output
spin magnetization: 0.00 Bohr magnetons per cell
density: 6.7 g/cm3
SG: Pmn2_1, No. 31

***

The winner here is (b), beating the second structure by 213 meV per atom.

***

(a)
A geometry-optimized Y7Ho12Er structure, computed with GGA-PBE.

```
Y7Ho12Er
1.0
9.2495 5.3402 2.2263
-9.2495 5.3402 2.2263
0.0000 -10.6804 2.2263
Y Ho Er
7 12 1
direct
0.0000 0.0000 0.0000
0.1185 0.4240 0.2808
0.2808 0.1185 0.4240
0.4240 0.2808 0.1185
0.5760 0.7192 0.8815
0.7192 0.8815 0.5760
0.8815 0.5760 0.7192
0.0105 0.2241 0.4390
0.2241 0.4390 0.0105
0.2307 0.7528 0.2902
0.2472 0.7098 0.7693
0.2902 0.2306 0.7528
0.4390 0.0105 0.2241
0.5610 0.9895 0.7759
0.7098 0.7693 0.2472
0.7528 0.2902 0.2307
0.7693 0.2472 0.7098
0.7759 0.5610 0.9895
0.9895 0.7759 0.5610
0.5000 0.5000 0.5000
```

Output
spin magnetization: 0.00 Bohr magnetons per cell
density: 7.0 g/cm3
SG: R-3, No. 148

***

(b)
A geometry-optimized Y7Ho12Er structure, computed with GGA-PBE.

```
Y7Ho12Er
1.0
6.3841 3.6858 4.5414
-6.3841 3.6858 4.5414
0.0000 -7.3717 4.5414
Y Ho Er
7 12 1
direct
0.0000 0.0000 0.0000
0.1497 0.4831 0.4179
0.4179 0.1497 0.4831
0.4831 0.4179 0.1497
0.5169 0.5821 0.8503
0.5821 0.8503 0.5169
0.8503 0.5169 0.5821
0.0211 0.3536 0.0852
0.0852 0.0211 0.3536
0.1827 0.3120 0.7507
0.2493 0.8173 0.6880
0.3120 0.7507 0.1827
0.3536 0.0852 0.0211
0.6464 0.9148 0.9789
0.6881 0.2493 0.8173
0.7507 0.1827 0.3120
0.8173 0.6881 0.2493
0.9148 0.9789 0.6464
0.9789 0.6464 0.9148
0.5000 0.5000 0.5000
```

Output
spin magnetization: 0.00 Bohr magnetons per cell
density: 7.2 g/cm3
SG: R-3, No. 148

***

The winner here is (b), beating the second structure by 26 meV per atom.

***

(a)
A geometry-optimized YHo2Er structure, computed with GGA-PBE.

```
YHo2Er
1.0
5.6276 0.0000 0.0000
0.0000 12.3522 0.0000
0.0000 0.0000 7.2447
Y Ho Er
4 8 4
direct
0.2500 0.1657 0.0000
0.2500 0.6657 0.5000
0.7500 0.3343 0.5000
0.7500 0.8343 0.0000
0.2500 0.1656 0.5002
0.2500 0.4164 0.2488
0.2500 0.6656 0.0002
0.2500 0.9164 0.7488
0.7500 0.0836 0.7488
0.7500 0.3344 0.0002
0.7500 0.5836 0.2488
0.7500 0.8344 0.5002
0.2500 0.4162 0.7514
0.2500 0.9162 0.2514
0.7500 0.0838 0.2514
0.7500 0.5838 0.7514
```

Output
spin magnetization: 0.00 Bohr magnetons per cell
density: 7.7 g/cm3
SG: Ama2, No. 40

***

(b)
A geometry-optimized YHo2Er structure, computed with GGA-PBE.

```
YHo2Er
1.0
6.9162 0.0000 0.0000
0.0000 6.9047 0.0000
-0.0060 0.0000 10.9308
Y Ho Er
4 8 4
direct
0.1262 0.1248 0.3866
0.1262 0.8752 0.8866
0.8738 0.1248 0.1134
0.8738 0.8752 0.6134
0.1251 0.3759 0.8878
0.1251 0.6241 0.3878
0.3760 0.1259 0.1116
0.3760 0.8741 0.6116
0.6240 0.1259 0.3884
0.6240 0.8741 0.8884
0.8749 0.3759 0.6122
0.8749 0.6241 0.1122
0.3753 0.3749 0.6128
0.3753 0.6251 0.1128
0.6247 0.3749 0.8872
0.6247 0.6251 0.3872
```

Output
spin magnetization: 0.00 Bohr magnetons per cell
density: 7.5 g/cm3
SG: P2/c, No. 13

***

The winner here is (a), beating the second structure by 214 meV per atom.

***

(a)
A geometry-optimized YHo2Er structure, computed with GGA-PBE.

```
YHo2Er
1.0
3.5620 0.0000 0.0000
-1.7810 3.0847 0.0000
0.0000 0.0000 34.1320
Y Ho Er
3 6 3
direct
0.0000 0.0000 0.0000
0.3333 0.6667 0.6667
0.6667 0.3333 0.3333
0.0000 0.0000 0.2501
0.0000 0.0000 0.4175
0.3333 0.6667 0.0842
0.3333 0.6667 0.9168
0.6667 0.3333 0.5835
0.6667 0.3333 0.7509
0.0000 0.0000 0.8340
0.3333 0.6667 0.5007
0.6667 0.3333 0.1674
```

Output
spin magnetization: 0.01 Bohr magnetons per cell
density: 7.8 g/cm3
SG: R3m, No. 160

***

(b)
A geometry-optimized YHo2Er structure, computed with GGA-PBE.

```
YHo2Er
1.0
4.9974 0.0000 0.0000
0.0000 4.9974 0.0000
0.0000 0.0000 4.9975
Y Ho Er
1 2 1
direct
0.0000 0.0000 0.0000
0.0000 0.5000 0.5000
0.5000 0.0000 0.5000
0.5000 0.5000 0.0000
```

Output
spin magnetization: 0.00 Bohr magnetons per cell
density: 7.8 g/cm3
SG: P4/mmm, No. 123

***

(c)
A geometry-optimized YHo2Er structure, computed with GGA-PBE.

```
YHo2Er
1.0
7.9814 0.0000 0.0000
0.0000 7.9814 0.0000
0.0000 0.0000 7.9814
Y Ho Er
4 8 4
direct
0.0000 0.0000 0.0000
0.0000 0.5000 0.5000
0.5000 0.0000 0.5000
0.5000 0.5000 0.0000
0.2500 0.2500 0.2500
0.2500 0.2500 0.7500
0.2500 0.7500 0.2500
0.2500 0.7500 0.7500
0.7500 0.2500 0.2500
0.7500 0.2500 0.7500
0.7500 0.7500 0.2500
0.7500 0.7500 0.7500
0.0000 0.0000 0.5000
0.0000 0.5000 0.0000
0.5000 0.0000 0.0000
0.5000 0.5000 0.5000
```

Output
spin magnetization: 1.18 Bohr magnetons per cell
density: 7.7 g/cm3
SG: Fm-3m, No. 225

***

The winner here is (a), beating the second structure by 14 meV per atom.

***

(a)
A geometry-optimized Y4Ho2Er5 structure, computed with GGA-PBE.

```
Y4Ho2Er5
1.0
-1.7652 2.4993 19.4409
1.7652 -2.4993 19.4409
1.7652 2.4993 -19.4409
Y Ho Er
4 2 5
direct
0.0456 0.0456 0.0000
0.3180 0.3180 0.0000
0.6820 0.6820 0.0000
0.9544 0.9544 0.0000
0.4087 0.4087 0.0000
0.5913 0.5913 0.0000
0.1364 0.1364 0.0000
0.2276 0.2276 0.0000
0.5000 0.5000 0.0000
0.7724 0.7724 0.0000
0.8636 0.8636 0.0000
```

Output
spin magnetization: 0.00 Bohr magnetons per cell
density: 7.4 g/cm3
SG: Immm, No. 71

***

(b)
A geometry-optimized Y4Ho2Er5 structure, computed with GGA-PBE.

```
Y4Ho2Er5
1.0
8.1352 -2.8138 0.0000
8.1352 2.8138 0.0000
-5.1259 0.0000 7.6289
Y Ho Er
4 2 5
direct
0.0478 0.0478 0.3048
0.3158 0.3158 0.5129
0.6842 0.6842 0.4871
0.9522 0.9522 0.6952
0.4055 0.4055 0.2409
0.5945 0.5945 0.7591
0.1567 0.1567 0.0637
0.2153 0.2153 0.7581
0.5000 0.5000 0.0000
0.7847 0.7847 0.2419
0.8433 0.8433 0.9363
```

Output
spin magnetization: 0.00 Bohr magnetons per cell
density: 7.2 g/cm3
SG: C2/m, No. 12

***

The winner here is (a), beating the second structure by 75 meV per atom.

***

(a)
A geometry-optimized Y2Ho7Er structure, computed with GGA-PBE.

```
Y2Ho7Er
1.0
4.2658 -8.8690 0.0000
4.2658 8.8690 0.0000
0.0000 0.0000 5.0203
Y Ho Er
2 7 1
direct
0.2030 0.7970 0.0000
0.7970 0.2030 0.0000
0.0000 0.0000 0.0000
0.2156 0.4227 0.0000
0.3098 0.6902 0.5000
0.4227 0.2156 0.0000
0.5773 0.7844 0.0000
0.6902 0.3098 0.5000
0.7844 0.5773 0.0000
0.5000 0.5000 0.5000
```

Output
spin magnetization: 0.00 Bohr magnetons per cell
density: 6.6 g/cm3
SG: Cmmm, No. 65

***

(b)
A geometry-optimized Y2Ho7Er structure, computed with GGA-PBE.

```
Y2Ho7Er
1.0
3.0528 -14.7597 0.0000
3.0528 14.7597 0.0000
-0.0225 0.0000 3.4829
Y Ho Er
2 7 1
direct
0.2076 0.7924 0.0000
0.7924 0.2076 0.0000
0.1457 0.3443 0.7698
0.3095 0.6905 0.5000
0.3443 0.1457 0.7698
0.5000 0.5000 0.0000
0.6557 0.8543 0.2302
0.6905 0.3095 0.5000
0.8543 0.6557 0.2302
0.0000 0.0000 0.5000
```

Output
spin magnetization: 0.00 Bohr magnetons per cell
density: 7.9 g/cm3
SG: C2/m, No. 12

***

The winner here is (b), beating the second structure by 582 meV per atom.

***

(a)
A geometry-optimized Y3Ho3Er structure, computed with GGA-PBE.

```
Y3Ho3Er
1.0
4.9159 2.8382 2.7273
-4.9159 2.8382 2.7273
0.0000 -5.6763 2.7273
Y Ho Er
3 3 1
direct
0.2160 0.2160 0.5680
0.2160 0.5680 0.2160
0.5680 0.2160 0.2160
0.1780 0.7717 0.7717
0.7717 0.1780 0.7717
0.7717 0.7717 0.1780
0.6315 0.6315 0.6315
```

Output
spin magnetization: 0.00 Bohr magnetons per cell
density: 6.8 g/cm3
SG: R3m, No. 160

***

(b)
A geometry-optimized Y3Ho3Er structure, computed with GGA-PBE.

```
Y3Ho3Er
1.0
3.0808 1.7787 14.0982
-3.0808 1.7787 14.0982
0.0000 -3.5574 14.0982
Y Ho Er
6 6 2
direct
0.0663 0.7327 0.4003
0.2673 0.5997 0.9337
0.4003 0.0663 0.7327
0.5997 0.9337 0.2673
0.7327 0.4003 0.0663
0.9337 0.2673 0.5997
0.1333 0.4644 0.8017
0.1983 0.8667 0.5356
0.4644 0.8017 0.1333
0.5356 0.1983 0.8667
0.8017 0.1333 0.4644
0.8667 0.5356 0.1983
0.3333 0.3333 0.3333
0.6667 0.6667 0.6667
```

Output
spin magnetization: 0.00 Bohr magnetons per cell
density: 6.7 g/cm3
SG: R-3, No. 148

***

The winner here is (b), beating the second structure by 121 meV per atom.

***

(a)
A geometry-optimized Y5Ho4Er3 structure, computed with GGA-PBE.

```
Y5Ho4Er3
1.0
8.0381 -2.9179 0.0000
8.0381 2.9179 0.0000
-4.1237 0.0000 8.2429
Y Ho Er
5 4 3
direct
0.0000 0.0000 0.0000
0.3269 0.3269 0.6148
0.4253 0.4253 0.2962
0.5747 0.5747 0.7038
0.6731 0.6731 0.3852
0.0807 0.0807 0.4403
0.2148 0.2148 0.8787
0.7852 0.7852 0.1213
0.9193 0.9193 0.5597
0.2093 0.2093 0.2307
0.5000 0.5000 0.0000
0.7907 0.7907 0.7693
```

Output
spin magnetization: 0.60 Bohr magnetons per cell
density: 6.9 g/cm3
SG: C2/m, No. 12

***

(b)
A geometry-optimized Y5Ho4Er3 structure, computed with GGA-PBE.

```
Y5Ho4Er3
1.0
6.1287 0.0000 0.0000
0.0089 7.0839 0.0000
0.0147 0.0041 8.6637
Y Ho Er
5 4 3
direct
0.0000 0.0000 0.0000
0.3314 0.4998 0.6657
0.5003 0.2501 0.0000
0.4997 0.7499 0.0000
0.6686 0.5002 0.3343
0.1660 0.2494 0.3332
0.3340 0.9998 0.6645
0.6660 0.0002 0.3355
0.8340 0.7506 0.6668
0.0000 0.5000 0.0000
0.1663 0.7507 0.3333
0.8337 0.2493 0.6667
```

Output
spin magnetization: 0.00 Bohr magnetons per cell
density: 7.1 g/cm3
SG: P-1, No. 2

***

The winner here is (b), beating the second structure by 219 meV per atom.